VASP calculation (PBE) on a relaxed BPt3Au crystal.

Structure (POSCAR):
```
BPt3Au
1.0
7.634 -2.112 0.000
7.634 2.112 0.000
-1.105 0.000 4.660
B Pt Au
2 6 2
Direct
0.176 0.176 0.075 B
0.824 0.824 0.925 B
0.052 0.052 0.800 Pt
0.192 0.192 0.507 Pt
0.316 0.316 0.075 Pt
0.684 0.684 0.925 Pt
0.808 0.808 0.493 Pt
0.948 0.948 0.200 Pt
0.432 0.432 0.677 Au
0.568 0.568 0.323 Au
```

Output
Mass density (g cm⁻³): 17.53
Magnetic moment (μB/atom): 0.000
DFT formation energy (meV per atom): -58

=====

VASP calculation (PBE) on a relaxed BPt3Au crystal.

Structure (POSCAR):
```
BPt3Au
1.0
5.735 0.000 0.000
0.000 9.008 0.000
0.000 0.000 5.805
B Pt Au
4 12 4
Direct
0.000 0.000 0.000 B
0.000 0.500 0.000 B
0.500 0.000 0.500 B
0.500 0.500 0.500 B
0.076 0.250 0.047 Pt
0.181 0.506 0.321 Pt
0.181 0.994 0.321 Pt
0.319 0.006 0.821 Pt
0.319 0.494 0.821 Pt
0.424 0.750 0.547 Pt
0.576 0.250 0.453 Pt
0.681 0.506 0.179 Pt
0.681 0.994 0.179 Pt
0.819 0.006 0.679 Pt
0.819 0.494 0.679 Pt
0.924 0.750 0.953 Pt
0.083 0.250 0.553 Au
0.417 0.750 0.053 Au
0.583 0.250 0.947 Au
0.917 0.750 0.447 Au
```

Output
Mass density (g cm⁻³): 17.57
Magnetic moment (μB/atom): 0.000
DFT formation energy (meV per atom): -63

=====

VASP calculation (PBE) on a relaxed BPtAu crystal.

Structure (POSCAR):
```
BPtAu
1.0
3.230 0.000 0.000
0.000 5.536 0.000
-0.494 0.000 4.916
B Pt Au
2 2 2
Direct
0.073 0.000 0.346 B
0.927 0.500 0.654 B
0.386 0.346 0.443 Pt
0.614 0.846 0.557 Pt
0.077 0.677 0.054 Au
0.923 0.177 0.946 Au
```

Output
Mass density (g cm⁻³): 15.22
Magnetic moment (μB/atom): 0.000
DFT formation energy (meV per atom): 48

=====

VASP calculation (PBE) on a relaxed B3Pt6Au crystal.

Structure (POSCAR):
```
B3Pt6Au
1.0
5.630 0.000 0.000
0.454 5.626 0.000
2.809 2.120 4.437
B Pt Au
3 6 1
Direct
0.000 0.000 0.000 B
0.255 0.644 0.480 B
0.655 0.957 0.666 B
0.285 0.713 0.066 Pt
0.392 0.251 0.723 Pt
0.641 0.751 0.425 Pt
0.894 0.261 0.222 Pt
0.912 0.341 0.680 Pt
0.933 0.778 0.801 Pt
0.390 0.190 0.240 Au
```

Output
Mass density (g cm⁻³): 16.54
Magnetic moment (μB/atom): 0.000
DFT formation energy (meV per atom): -149

=====

VASP calculation (PBE) on a relaxed BPtAu crystal.

Structure (POSCAR):
```
BPtAu
1.0
3.893 0.000 0.000
0.000 5.751 0.000
-3.784 0.000 3.932
B Pt Au
2 2 2
Direct
0.000 0.178 0.000 B
0.000 0.822 0.500 B
0.500 0.002 0.501 Pt
0.500 0.998 0.001 Pt
0.999 0.495 0.261 Au
0.999 0.505 0.761 Au
```

Output
Mass density (g cm⁻³): 15.20
Magnetic moment (μB/atom): 0.000
DFT formation energy (meV per atom): -10

=====

VASP calculation (PBE) on a relaxed BPtAu crystal.

Structure (POSCAR):
```
BPtAu
1.0
5.147 -1.603 0.000
5.147 1.603 0.000
-3.033 0.000 5.487
B Pt Au
2 2 2
Direct
0.000 0.000 0.000 B
0.113 0.113 0.707 B
0.351 0.351 0.912 Pt
0.629 0.629 0.945 Pt
0.184 0.184 0.394 Au
0.910 0.910 0.371 Au
```

Output
Mass density (g cm⁻³): 14.78
Magnetic moment (μB/atom): 0.000
DFT formation energy (meV per atom): 45